The following is a PBE calculation of a geometry-optimized ZrPtW structure, from Alexandria via LeMat-Bulk.

total moment: 0.00 Bohr magnetons per cell
polymorph energy (0 for the lowest one): 312 meV/atom
crystal system: trigonal
symmetry: No. 156
energy: -9.18 eV/atom
ΔE_f: 0.00 eV per atom

Lattice parameters (Å, degrees): 2.8909 2.8909 7.3307 90.00 90.00 120.00
Positions (direct):
Pt (0.0000, 0.0000, 0.0106)
W (0.3333, 0.6667, 0.3160)
Zr (0.6667, 0.3333, 0.6735)